6
Lattice="0.0000 4.0724 4.0724 4.0724 0.0000 4.0724 4.0724 4.0724 0.0000" Properties=species:S:1:pos:R:3 comment="BaTaAg4, relaxed, DFT GGA-PBE" ef_mev_per_atom=519 n_ef_per_ev_atom=0.807 dft_energy_ev_per_cell=-22.1 pbc="T T T"
Ba 0.0000 0.0000 0.0000
Ta 6.1086 6.1086 6.1086
Ag 3.0658 3.0658 3.0658
Ag 5.0790 5.0790 3.0658
Ag 5.0790 3.0658 5.0790
Ag 3.0658 5.0790 5.0790



7
Lattice="8.2211 -1.7513 0.0000 8.2211 1.7513 0.0000 -3.8949 0.0000 7.4946" Properties=species:S:1:pos:R:3 comment="Y4Tm2Cd, relaxed, DFT GGA-PBE" ef_mev_per_atom=42 n_ef_per_ev_atom=1.522 dft_energy_ev_per_cell=-35.4 pbc="T T T"
Y 0.5488 0.0000 1.5259
Y 5.6249 0.0000 0.8034
Y 6.9225 0.0000 6.6912
Y 11.9986 0.0000 5.9687
Tm 1.0959 0.0000 4.7945
Tm 11.4514 0.0000 2.7001
Cd -1.9474 0.0000 3.7473



2
Lattice="2.5499 0.0000 0.0000 1.1082 3.1819 0.0000 0.0774 1.7106 5.4025" Properties=species:S:1:pos:R:3 comment="PS, relaxed, DFT GGA-PBE" relative_energy_mev_per_atom=433 n_ef_per_ev_atom=0.224 e_form_raw_ev_per_atom=0.30 dft_energy_ev_per_cell=-8.9 pbc="T T T"
P 0.0000 0.0000 0.0000
S 2.6275 1.7107 3.4045



18
Lattice="2.6579 -10.1290 0.0000 2.6579 10.1290 0.0000 0.0000 0.0000 10.4085" Properties=species:S:1:pos:R:3 comment="TbNd2Tm5In, relaxed, DFT GGA-PBE" ef_mev_per_atom=-10 n_ef_per_ev_atom=1.306 dft_energy_ev_per_cell=-78.7 pbc="T T T"
Tb 2.6579 5.8763 7.8064
Tb 2.6579 -5.8763 2.6021
Nd 2.6579 7.7649 0.3927
Nd 2.6579 7.7649 4.8115
Nd 2.6579 -7.7649 5.5970
Nd 2.6579 -7.7649 10.0158
Tm 2.6579 9.9379 7.8064
Tm 2.6579 4.2889 0.5509
Tm 2.6579 4.2889 4.6533
Tm 2.6579 2.3363 7.8064
Tm 2.6579 0.0000 0.0000
Tm 2.6579 0.0000 5.2043
Tm 2.6579 -2.3363 2.6021
Tm 2.6579 -4.2889 5.7552
Tm 2.6579 -4.2889 9.8576
Tm 2.6579 -9.9379 2.6021
In 2.6579 1.9423 2.6021
In 2.6579 -1.9423 7.8064



4
Lattice="4.7687 -1.3848 0.0000 4.7687 1.3848 0.0000 -1.9949 0.0000 3.8863" Properties=species:S:1:pos:R:3 comment="Fe2ReCl, relaxed, DFT GGA-PBE" relative_energy_mev_per_atom=533 n_ef_per_ev_atom=1.189 e_form_raw_ev_per_atom=0.81 dft_energy_ev_per_cell=-28.0 pbc="T T T"
Fe 1.7478 0.0000 0.9026
Fe 5.7946 0.0000 2.9838
Re -0.9975 0.0000 1.9432
Cl 4.7687 0.0000 0.0000



4
Lattice="-2.3820 2.3820 3.6893 2.3820 -2.3820 3.6893 2.3820 2.3820 -3.6893" Properties=species:S:1:pos:R:3 comment="BaCo2As, relaxed, DFT GGA-PBE" ef_mev_per_atom=665 n_ef_per_ev_atom=1.581 dft_energy_ev_per_cell=-18.1 pbc="T T T"
Ba 0.0000 0.0000 0.0000
Co 2.3820 0.0000 1.8447
Co 0.0000 0.0000 3.6893
As 0.0000 2.3820 1.8447



7
Lattice="9.2745 -2.0508 0.0000 9.2745 2.0508 0.0000 -0.8866 0.0000 3.9606" Properties=species:S:1:pos:R:3 comment="Th3Si2Ni2, relaxed, DFT GGA-PBE" n_ef_per_ev_atom=1.095 e_form_raw_ev_per_atom=-0.68 dft_energy_ev_per_cell=-49.4 pbc="T T T"
Th 0.0000 0.0000 0.0000
Th 5.1297 0.0000 3.2280
Th 12.5327 0.0000 0.7326
Si 1.9372 0.0000 2.5158
Si 15.7252 0.0000 1.4449
Ni 7.6388 0.0000 1.7091
Ni 10.0237 0.0000 2.2515



11
Lattice="0.0000 5.1109 6.4159 2.9488 0.0000 6.4159 2.9488 5.1109 0.0000" Properties=species:S:1:pos:R:3 comment="Pr2Si4Ru5, relaxed, DFT GGA-PBE" n_ef_per_ev_atom=0.296 e_form_raw_ev_per_atom=-0.74 dft_energy_ev_per_cell=-85.8 pbc="T T T"
Pr 2.9488 5.1109 1.6877
Pr 2.9488 5.1109 11.1441
Si 2.9488 3.5498 4.7121
Si 2.9488 3.5498 8.1198
Si 2.9488 6.6721 4.7121
Si 2.9488 6.6721 8.1198
Ru 1.4744 2.5555 0.0000
Ru 1.4744 2.5555 3.2080
Ru 1.4744 2.5555 6.4159
Ru 2.9488 5.1109 6.4159
Ru 4.4232 7.6664 9.6239